No. 1
Density functional theory data (PBE) for Sr2TmTe3 after structural relaxation.

Results
- total DFT energy (no corrections) (Ha/atom) = -0.16181
- density (Mg/m³) = 5.95
- crystal system = monoclinic
- N(E_F) (states/eV per atom) = 0.26
- energy relative to the elements, uncorrected (eV per atom) = -1.527

a = 7.8945 Å, b = 7.8945 Å, c = 7.9711 Å
α = 99.53°, β = 99.53°, γ = 119.99°
Positions (direct):
Sr: 0.0000 0.0000 0.0000
Sr: 0.1610 0.8390 0.5000
Sr: 0.5000 0.5000 0.5000
Sr: 0.8390 0.1610 0.5000
Tm: 0.3320 0.6680 0.0000
Tm: 0.6680 0.3320 0.0000
Te: 0.0784 0.4267 0.2339
Te: 0.2723 0.2723 0.7713
Te: 0.4267 0.0784 0.2339
Te: 0.5733 0.9216 0.7661
Te: 0.7277 0.7277 0.2287
Te: 0.9216 0.5733 0.7661

---

No. 2
Density functional theory data (PBE) for LaZrCd2 after structural relaxation.

Results
- total DFT energy (no corrections) (Ha/atom) = -0.14043
- energy of formation from the pure elements (meV/atom) = 5
- density (Mg/m³) = 7.27
- crystal system = orthorhombic
- N(E_F) (states/eV per atom) = 0.90

a = 3.3861 Å, b = 4.4717 Å, c = 6.8631 Å
α = 90.00°, β = 90.00°, γ = 90.00°
Positions (direct):
La: 0.0000 0.0000 0.0000
Zr: 0.5000 0.5000 0.2876
Cd: 0.0000 0.0000 0.4921
Cd: 0.5000 0.5000 0.7333

---

No. 3
Density functional theory data (PBE) for Re2OsN after structural relaxation.

Results
- total DFT energy (no corrections) (Ha/atom) = -0.38458
- density (Mg/m³) = 14.85
- crystal system = tetragonal
- N(E_F) (states/eV per atom) = 0.53
- energy relative to the elements, uncorrected (eV per atom) = 0.648

a = 6.2702 Å, b = 6.2702 Å, c = 6.2702 Å
α = 133.12°, β = 133.12°, γ = 68.46°
Positions (direct):
Re: 0.0449 0.6250 0.9199
Re: 0.3750 0.2949 0.4199
Re: 0.7051 0.1250 0.0801
Re: 0.8750 0.9551 0.5801
Os: 0.2500 0.7500 0.5000
Os: 0.5000 0.5000 0.0000
N: 0.0000 0.0000 0.0000
N: 0.7500 0.2500 0.5000

---

No. 4
Density functional theory data (PBE) for Sr2PmPd9 after structural relaxation.

Results
- total DFT energy (no corrections) (Ha/atom) = -0.18898
- energy of formation from the pure elements (meV/atom) = -572
- density (Mg/m³) = 9.02
- crystal system = trigonal
- N(E_F) (states/eV per atom) = 0.67

a = 9.6768 Å, b = 9.6768 Å, c = 9.6768 Å
α = 32.70°, β = 32.70°, γ = 32.70°
Positions (direct):
Sr: 0.1403 0.1403 0.1403
Sr: 0.8597 0.8597 0.8597
Pm: 0.0000 0.0000 0.0000
Pd: 0.0820 0.5827 0.5827
Pd: 0.3327 0.3327 0.3327
Pd: 0.4173 0.4173 0.9180
Pd: 0.4173 0.9180 0.4173
Pd: 0.5000 0.5000 0.5000
Pd: 0.5827 0.0820 0.5827
Pd: 0.5827 0.5827 0.0820
Pd: 0.6673 0.6673 0.6673
Pd: 0.9180 0.4173 0.4173